MnAlSe3 | the Alexandria database | PBE | optimized geometry; DOS at the Fermi energy = 1.88 states/eV/f.u.; offset from the most stable computed form = 92.5 meV/atom; size of the total moment = 2.62 μB per formula unit; formation energy (no corrections) = -523 meV/atom
1.0
10.501 -1.863 0.000
10.501 1.863 0.000
-1.787 0.000 6.754
Mn Al Se
2 2 6
direct
0.000 0.000 0.000
0.584 0.584 0.212
0.227 0.227 0.648
0.845 0.845 0.605
0.117 0.117 0.058
0.292 0.292 0.398
0.468 0.468 0.160
0.642 0.642 0.553
0.791 0.791 0.872
0.962 0.962 0.657

=====

MnAlSe3 | the Alexandria database | PBE | optimized geometry; DOS at the Fermi energy = 3.21 states/eV/f.u.; offset from the most stable computed form = 490.1 meV/atom; size of the total moment = 2.88 μB per formula unit; formation energy (no corrections) = -126 meV/atom
1.0
4.711 0.000 0.000
0.000 4.711 0.000
0.000 0.000 5.708
Mn Al Se
1 1 3
direct
0.000 0.000 0.000
0.500 0.500 0.328
0.000 0.000 0.604
0.000 0.500 0.148
0.500 0.000 0.148

=====

MnAlSe3 | the Alexandria database | PBE | optimized geometry; DOS at the Fermi energy = 0.14 states/eV/f.u.; offset from the most stable computed form = 62.9 meV/atom; size of the total moment = 2.00 μB per formula unit; formation energy (no corrections) = -553 meV/atom
1.0
6.886 -1.825 0.000
6.886 1.825 0.000
-3.835 0.000 9.034
Mn Al Se
2 2 6
direct
0.000 0.000 0.000
0.652 0.652 0.976
0.065 0.065 0.572
0.401 0.401 0.314
0.178 0.178 0.159
0.189 0.189 0.826
0.469 0.469 0.832
0.601 0.601 0.436
0.871 0.871 0.117
0.876 0.876 0.478

=====

Mn4AlSe | the Alexandria database | PBE | optimized geometry; DOS at the Fermi energy = 8.50 states/eV/f.u.; size of the total moment = 3.63 μB per formula unit; formation energy (no corrections) = 326 meV/atom
1.0
0.000 3.388 3.388
3.388 0.000 3.388
3.388 3.388 0.000
Mn Al Se
4 1 1
direct
0.125 0.125 0.125
0.125 0.125 0.626
0.125 0.626 0.125
0.626 0.125 0.125
0.500 0.500 0.500
0.750 0.750 0.750